## RuF (PBE)

Data for crystalline RuF at its relaxed geometry. Values from VASP.

Properties
The value obtained for the energy relative to the elements, uncorrected is -0.375 eV per atom. Its offset from the most stable computed form is 0.309 eV per atom. The space-group type is No. 186.

The structure in Quantum ESPRESSO input format:
```
&SYSTEM
  ibrav = 0, nat = 4, ntyp = 2
/
ATOMIC_SPECIES
F 19.00 F.upf
Ru 101.07 Ru.upf
CELL_PARAMETERS angstrom
-1.129 -1.247 2.038
-0.784 -0.524 -2.468
5.568 -5.888 -0.519
ATOMIC_POSITIONS angstrom
F 4.108 -6.422 0.058
F 1.439 -3.237 -1.185
Ru -0.111 -1.961 0.451
Ru 2.787 -4.663 -1.310
```